(1)
VASP calculation (PBE) on MgTlIn4 after structural relaxation.

Cell lengths 6.221, 6.221, 6.221 Å; angles 60.00, 60.00, 60.00 degrees
Atoms (fractional coordinates):
Mg  0.000  0.000  0.000
Tl  0.750  0.750  0.750
In  0.375  0.375  0.375
In  0.375  0.375  0.875
In  0.375  0.875  0.375
In  0.875  0.375  0.375

Calculated values
distance to the lowest polymorph of the same formula	0.101	eV per atom
crystal system	cubic
N(E_F)	0.46	states/eV per atom

---

(2)
VASP calculation (PBE) on Mg8Tl2In3 after structural relaxation.

Cell lengths 8.231, 8.231, 5.002 Å; angles 97.79, 97.79, 75.76 degrees
Atoms (fractional coordinates):
Mg  0.065  0.065  0.285
Mg  0.123  0.589  0.914
Mg  0.331  0.331  0.407
Mg  0.411  0.877  0.086
Mg  0.589  0.123  0.914
Mg  0.669  0.669  0.593
Mg  0.877  0.411  0.086
Mg  0.935  0.935  0.715
Tl  0.193  0.193  0.838
Tl  0.807  0.807  0.162
In  0.272  0.728  0.500
In  0.500  0.500  0.000
In  0.728  0.272  0.500

Calculated values
distance to the lowest polymorph of the same formula	0.000	eV per atom
crystal system	monoclinic
N(E_F)	0.34	states/eV per atom

---

| no. | size of the total moment (μB/f.u.) | DFT total energy (eV for the cell shown) | formation enthalpy at 0 K (eV per atom) |
| --- | --- | --- | --- |
| 1 | 0.0 | -14.39 | 0.09 |
| 2 | 0.0 | -25.61 | 0.01 |